1.
Entry from Alexandria via LeMat-Bulk: a relaxed structure of YAl4Cu2Ni (GGA-PBE).

Structure (POSCAR):
```
YAl4Cu2Ni
1.0
4.148 0.000 0.000
2.074 3.592 0.000
2.074 1.197 8.614
Y Al Cu Ni
1 4 2 1
Direct
0.000 0.000 0.000
0.406 0.406 0.782
0.866 0.866 0.401
0.134 0.134 0.599
0.594 0.594 0.218
0.763 0.763 0.712
0.237 0.237 0.288
0.500 0.500 0.500
```

Computed properties:
The formation energy comes out at -3.2 eV/f.u. The calculation puts the magnetic moment at 0.0 μB per formula unit.


2.
Entry from Alexandria via LeMat-Bulk: a relaxed structure of Y2Al4Cu3Ni (GGA-PBE).

Structure (POSCAR):
```
Y2Al4Cu3Ni
1.0
4.119 0.000 0.000
0.000 4.119 0.000
0.000 0.000 10.148
Y Al Cu Ni
2 4 3 1
Direct
0.500 0.000 0.256
0.000 0.500 0.744
0.500 0.500 0.000
0.000 0.000 0.000
0.500 0.000 0.623
0.000 0.500 0.377
0.000 0.000 0.500
0.500 0.000 0.862
0.000 0.500 0.138
0.500 0.500 0.500
```

Computed properties:
The formation energy comes out at -4.6 eV/f.u. The calculation puts the magnetic moment at 0.0 μB per formula unit.


3.
Entry from Alexandria via LeMat-Bulk: a relaxed structure of YAlCu2Ni (GGA-PBE).

Structure (POSCAR):
```
YAlCu2Ni
1.0
4.557 0.000 0.000
0.000 4.767 0.000
0.000 0.000 4.557
Y Ni Al Cu
1 1 1 2
Direct
0.000 0.500 0.000
0.000 0.000 0.000
0.500 0.500 0.500
0.000 0.000 0.500
0.500 0.000 0.000
```

Computed properties:
The formation energy comes out at 1.7 eV/f.u. The calculation puts the magnetic moment at 0.0 μB per formula unit. The value obtained for the energy above the most stable polymorph in this dataset is 0.000 eV per atom.


4.
Entry from Alexandria via LeMat-Bulk: a relaxed structure of Y2Al4CuNi3 (GGA-PBE).

Structure (POSCAR):
```
Y2Al4CuNi3
1.0
-2.376 -2.748 1.700
2.008 -2.909 -1.896
6.571 -0.707 8.042
Y Al Cu Ni
2 4 1 3
Direct
0.500 0.000 0.244
0.000 0.500 0.756
0.500 0.500 0.000
0.000 0.000 0.000
0.500 0.000 0.631
0.000 0.500 0.369
0.500 0.500 0.500
0.000 0.000 0.500
0.500 0.000 0.864
0.000 0.500 0.136
```

Computed properties:
The formation energy comes out at -5.4 eV/f.u. The calculation puts the magnetic moment at 0.0 μB per formula unit.


5.
Entry from Alexandria via LeMat-Bulk: a relaxed structure of YAl3CuNi (GGA-PBE).

Structure (POSCAR):
```
YAl3CuNi
1.0
-5.663 -0.164 -0.126
-0.115 -0.647 6.029
-0.131 6.324 -2.375
Y Al Cu Ni
2 6 2 2
Direct
0.750 0.279 0.559
0.250 0.721 0.441
0.250 0.141 0.282
0.000 0.287 0.000
0.500 0.713 0.000
0.500 0.287 0.000
0.000 0.713 0.000
0.750 0.859 0.718
0.250 0.353 0.705
0.750 0.647 0.295
0.250 0.934 0.867
0.750 0.066 0.133
```

Computed properties:
The formation energy comes out at -2.0 eV/f.u. The calculation puts the magnetic moment at 0.0 μB per formula unit.


6.
Entry from Alexandria via LeMat-Bulk: a relaxed structure of Y2AlCu3Ni12 (GGA-PBE).

Structure (POSCAR):
```
Y2AlCu3Ni12
1.0
9.026 1.842 1.306
6.059 6.939 1.306
6.059 3.527 6.117
Y Al Cu Ni
2 1 3 12
Direct
0.649 0.649 0.649
0.351 0.351 0.351
0.000 0.000 0.000
0.500 0.000 0.000
0.000 0.500 0.000
0.000 0.000 0.500
0.421 0.421 0.811
0.927 0.927 0.357
0.357 0.927 0.927
0.811 0.421 0.421
0.927 0.357 0.927
0.421 0.811 0.421
0.579 0.579 0.189
0.073 0.073 0.643
0.643 0.073 0.073
0.189 0.579 0.579
0.073 0.643 0.073
0.579 0.189 0.579
```

Computed properties:
The formation energy comes out at 2.9 eV/f.u. The calculation puts the magnetic moment at 0.0 μB per formula unit.


7.
Entry from Alexandria via LeMat-Bulk: a relaxed structure of Y2Al3Cu12Ni (GGA-PBE).

Structure (POSCAR):
```
Y2Al3Cu12Ni
1.0
-8.436 -8.562 -1.439
-4.686 -10.076 -4.804
-4.300 -11.313 0.295
Y Al Cu Ni
2 3 12 1
Direct
0.645 0.645 0.645
0.355 0.355 0.355
0.500 0.000 0.000
0.000 0.500 0.000
0.000 0.000 0.500
0.398 0.398 0.873
0.891 0.891 0.386
0.386 0.891 0.891
0.873 0.398 0.398
0.891 0.386 0.891
0.398 0.873 0.398
0.602 0.602 0.127
0.109 0.109 0.614
0.614 0.109 0.109
0.127 0.602 0.602
0.109 0.614 0.109
0.602 0.127 0.602
0.000 0.000 0.000
```

Computed properties:
The formation energy comes out at 0.9 eV/f.u. The calculation puts the magnetic moment at 0.0 μB per formula unit.


8.
Entry from Alexandria via LeMat-Bulk: a relaxed structure of Y2AlCu2Ni5 (GGA-PBE).

Structure (POSCAR):
```
Y2AlCu2Ni5
1.0
3.624 0.000 0.000
0.000 9.021 0.000
0.000 0.000 9.021
Y Al Cu Ni
4 2 4 10
Direct
0.000 0.678 0.178
0.000 0.322 0.822
0.000 0.178 0.322
0.000 0.822 0.678
0.000 0.000 0.000
0.000 0.500 0.500
0.000 0.119 0.619
0.000 0.881 0.381
0.000 0.619 0.881
0.000 0.381 0.119
0.500 0.202 0.059
0.500 0.798 0.941
0.500 0.059 0.798
0.500 0.702 0.441
0.500 0.941 0.202
0.500 0.298 0.559
0.500 0.559 0.702
0.500 0.441 0.298
0.500 0.500 0.000
0.500 0.000 0.500
```

Computed properties:
The formation energy comes out at -3.1 eV/f.u. The calculation puts the magnetic moment at 0.0 μB per formula unit.


9.
Entry from Alexandria via LeMat-Bulk: a relaxed structure of YAlCu2Ni (GGA-PBE).

Structure (POSCAR):
```
YAlCu2Ni
1.0
-0.173 -4.283 2.506
5.496 -0.004 0.374
-0.289 2.512 4.273
Y Ni Al Cu
1 1 1 2
Direct
0.000 0.000 0.000
0.500 0.500 0.500
0.000 0.500 0.000
0.000 0.000 0.500
0.500 0.000 0.000
```

Computed properties:
The formation energy comes out at 8.1 eV/f.u. The calculation puts the magnetic moment at 0.6 μB per formula unit. The value obtained for the energy above the most stable polymorph in this dataset is 1.270 eV per atom.


10.
Entry from Alexandria via LeMat-Bulk: a relaxed structure of Al2Zn2CuNi5 (GGA-PBE).

Structure (POSCAR):
```
Al2Zn2CuNi5
1.0
-1.949 -0.157 2.947
2.905 -7.859 1.502
6.482 3.249 4.460
Al Zn Cu Ni
4 4 2 10
Direct
0.000 0.128 0.628
0.000 0.872 0.372
0.000 0.628 0.872
0.000 0.372 0.128
0.000 0.671 0.171
0.000 0.329 0.829
0.000 0.171 0.329
0.000 0.829 0.671
0.000 0.000 0.000
0.000 0.500 0.500
0.500 0.193 0.082
0.500 0.807 0.918
0.500 0.082 0.807
0.500 0.693 0.418
0.500 0.918 0.193
0.500 0.307 0.582
0.500 0.582 0.693
0.500 0.418 0.307
0.500 0.500 0.000
0.500 0.000 0.500
```

Computed properties:
The formation energy comes out at -1.2 eV/f.u. The calculation puts the magnetic moment at 0.0 μB per formula unit.


11.
Entry from Alexandria via LeMat-Bulk: a relaxed structure of AlZn2CuNi (GGA-PBE).

Structure (POSCAR):
```
AlZn2CuNi
1.0
-1.039 -3.913 2.274
0.938 -2.321 -3.566
4.414 -0.361 1.396
Ni Zn Al Cu
1 2 1 1
Direct
0.000 0.500 0.000
0.000 0.000 0.500
0.500 0.000 0.000
0.000 0.000 0.000
0.500 0.500 0.500
```

Computed properties:
The formation energy comes out at 4.0 eV/f.u. The calculation puts the magnetic moment at 0.0 μB per formula unit.


12.
Entry from Alexandria via LeMat-Bulk: a relaxed structure of AlZnCuNi (GGA-PBE).

Structure (POSCAR):
```
AlZnCuNi
1.0
2.924 0.000 0.000
0.000 2.924 0.000
0.000 0.000 5.905
Al Zn Cu Ni
1 1 1 1
Direct
0.000 0.000 0.371
0.000 0.000 0.850
0.500 0.500 0.110
0.500 0.500 0.597
```

Computed properties:
The formation energy comes out at -1.3 eV/f.u. The calculation puts the magnetic moment at 0.0 μB per formula unit.